No. 1
RhC5 | PBE | optimized geometry Values from VASP.

The structure in Quantum ESPRESSO input format:
```
&SYSTEM
  ibrav = 0, nat = 6, ntyp = 2
/
ATOMIC_SPECIES
C 12.01 C.upf
Rh 102.91 Rh.upf
CELL_PARAMETERS angstrom
1.9442 -0.6232 3.6731
2.3382 3.0582 1.6852
-1.3283 2.0034 3.4469
ATOMIC_POSITIONS crystal
C 0.2500 0.2500 0.2500
C 0.5932 0.5932 0.5932
C 0.5932 0.2205 0.5932
C 0.2205 0.5932 0.5932
C 0.5932 0.5932 0.2205
Rh 0.0000 0.0000 0.0000
```

Computed properties:
DFT total energy: -5.751 eV/atom
Formation energy from the elements: 3.1604 eV/atom
Polymorph energy (0 for the lowest one): 2.189 eV per atom
Total magnetization: 0.00 μB per cell


No. 2
RhC | PBE | optimized geometry Values from VASP.

The structure in Quantum ESPRESSO input format:
```
&SYSTEM
  ibrav = 0, nat = 12, ntyp = 2
/
ATOMIC_SPECIES
Rh 102.91 Rh.upf
C 12.01 C.upf
CELL_PARAMETERS angstrom
3.2578 0.0000 0.0000
0.0000 4.7512 0.0000
0.0000 0.0000 10.1870
ATOMIC_POSITIONS crystal
Rh 0.5000 0.0668 0.3550
Rh 0.0000 0.5926 0.5000
Rh 0.5000 0.4074 0.0000
Rh 0.0000 0.9332 0.1450
Rh 0.5000 0.0668 0.6450
Rh 0.0000 0.9332 0.8550
C 0.5000 0.3503 0.5000
C 0.5000 0.1728 0.8412
C 0.5000 0.1728 0.1588
C 0.0000 0.8272 0.3412
C 0.0000 0.6497 0.0000
C 0.0000 0.8272 0.6588
```

Computed properties:
DFT total energy: -7.648 eV/atom
Formation energy from the elements: 0.6398 eV/atom
Total magnetization: 0.00 μB per cell


No. 3
RhC4 | PBE | optimized geometry Values from VASP.

The structure in Quantum ESPRESSO input format:
```
&SYSTEM
  ibrav = 0, nat = 5, ntyp = 2
/
ATOMIC_SPECIES
C 12.01 C.upf
Rh 102.91 Rh.upf
CELL_PARAMETERS angstrom
-2.3725 2.3725 2.3725
2.3725 -2.3725 2.3725
2.3725 2.3725 -2.3725
ATOMIC_POSITIONS crystal
C 0.5000 0.5000 0.5000
C 0.0000 0.0000 0.5000
C 0.5000 0.0000 0.0000
C 0.0000 0.5000 0.0000
Rh 0.0000 0.0000 0.0000
```

Computed properties:
DFT total energy: -5.512 eV/atom
Formation energy from the elements: 3.3378 eV/atom
Polymorph energy (0 for the lowest one): 2.404 eV per atom
Total magnetization: 0.00 μB per cell


No. 4
RhC5 | PBE | optimized geometry Values from VASP.

The structure in Quantum ESPRESSO input format:
```
&SYSTEM
  ibrav = 0, nat = 6, ntyp = 2
/
ATOMIC_SPECIES
C 12.01 C.upf
Rh 102.91 Rh.upf
CELL_PARAMETERS angstrom
-1.6541 3.4225 -0.8506
-0.2585 -2.9417 2.5403
5.2687 3.7623 4.8929
ATOMIC_POSITIONS crystal
C 0.8426 0.1574 0.0000
C 0.8473 0.1527 0.5000
C 0.6484 0.3516 0.0000
C 0.4541 0.5459 0.0000
C 0.4115 0.5885 0.5000
Rh 0.1294 0.8706 0.5000
```

Computed properties:
DFT total energy: -7.742 eV/atom
Formation energy from the elements: 1.1703 eV/atom
Polymorph energy (0 for the lowest one): 0.199 eV per atom
Total magnetization: 0.00 μB per cell


Q: The lowest DFT total energy belongs to which entry?
A: number 4


Q: Which formula does entry 1 have?
A: RhC5